{
  "formula": "Rb9Br3ClO2",
  "functional": "PBE",
  "state": "relaxed",
  "lattice": [[8.018, 0.000, 0.000], [-4.009, 6.943, 0.000], [0.000, 0.000, 11.027]],
  "species": ["Rb", "Rb", "Rb", "Rb", "Rb", "Rb", "Rb", "Rb", "Rb", "Br", "Br", "Br", "Cl", "O", "O"],
  "fractional_positions": [[0.828, 0.172, 0.709], [0.828, 0.657, 0.709], [0.343, 0.172, 0.709], [0.657, 0.828, 0.291], [0.172, 0.343, 0.291], [0.172, 0.828, 0.291], [0.500, 0.000, 0.000], [0.000, 0.500, 0.000], [0.500, 0.500, 0.000], [0.333, 0.667, 0.749], [0.000, 0.000, 0.000], [0.667, 0.333, 0.251], [0.000, 0.000, 0.500], [0.333, 0.667, 0.161], [0.667, 0.333, 0.839]],
  "volume_a3_per_atom": 40.9,
  "e_form_raw_ev_per_atom": -1.28,
  "space_group": "P-3m1 (164)",
  "dft_energy_ev_per_cell": -44.75
}